1.
A plane-wave DFT calculation with SCAN was carried out for a PBEsol-optimized structure of SrTl2Pb.

Lattice parameters (Å, degrees): 4.836 4.842 4.961 90.00 90.00 90.00
Sites, in units of the cell vectors:
1 Sr 0.000 0.500 0.500
2 Tl 0.000 0.000 0.000
3 Tl 0.500 0.500 0.000
4 Pb 0.500 0.000 0.500

## Properties
* energy of formation from the pure elements: -0.40 eV/atom
* space-group type: P4/mmm (123)

2.
A plane-wave DFT calculation with SCAN was carried out for a PBEsol-optimized structure of CdNiBi2N.

Lattice parameters (Å, degrees): 4.161 4.944 4.944 90.00 90.00 90.00
Sites, in units of the cell vectors:
1 Bi 0.000 0.500 0.000
2 Bi 0.000 0.000 0.500
3 N 0.000 0.000 0.000
4 Ni 0.500 0.500 0.500
5 Cd 0.500 0.000 0.000

## Properties
* ΔE_f (raw): 0.89 eV per atom
* space-group type: P4/mmm (123)

3.
A plane-wave DFT calculation with SCAN was carried out for a PBEsol-optimized structure of LiNi2P.

Lattice parameters (Å, degrees): 2.891 3.765 4.264 107.05 109.82 90.00
Sites, in units of the cell vectors:
1 Ni 0.999 0.034 0.998
2 Ni 0.236 0.690 0.473
3 Li 0.752 0.217 0.504
4 P 0.513 0.559 0.025

## Properties
* energy of formation from the pure elements: -0.35 eV/atom
* space-group type: Cm (8)

4.
A plane-wave DFT calculation with SCAN was carried out for a PBEsol-optimized structure of OsPtSe2.

Lattice parameters (Å, degrees): 5.496 5.496 6.836 113.70 113.70 90.00
Sites, in units of the cell vectors:
1 Pt 0.250 0.750 0.500
2 Pt 0.000 0.000 0.000
3 Os 0.750 0.250 0.500
4 Os 0.500 0.500 0.000
5 Se 0.861 0.375 0.250
6 Se 0.625 0.611 0.750
7 Se 0.389 0.875 0.250
8 Se 0.125 0.139 0.750

## Properties
* offset from the most stable computed form: 0.1009 eV per atom
* ΔE_f (raw): 0.30 eV per atom
* space-group type: I-42d (122)

- Which formula does entry 3 have?
  LiNi2P

- What is the formula in the fourth record?
  OsPtSe2